HgPRu2 after structural relaxation, computed with PBE.

Cell: 2.9913 4.3326 4.9255 Å, 90.00 90.00 90.00°
Closest atoms and distances in Å follow each position.
Space group Pmmm (No. 47)
Unique sites:
Hg 0.0000 0.0000 0.0000 [1 per cell]  4 Ru 2.63, 4 P 2.88
P 0.5000 0.0000 0.5000 [1 per cell]  4 Ru 2.63, 4 Hg 2.88
Ru 0.0000 0.5000 0.5000 [1 per cell]  4 P 2.63, 4 Ru 2.88
Ru 0.5000 0.5000 0.0000 [1 per cell]  4 Hg 2.63, 4 Ru 2.88

Values from the calculation:
Calculated density ... 11.3 g cm⁻³
ΔH_f (0 K) ... 0.69 eV/atom
Crystal system ... orthorhombic
Uncorrected energy ... -5.374 eV per atom
Energy above the lowest structure with this stoichiometry ... 752.5 meV/atom


Hg2PRu after structural relaxation, computed with PBE.

Cell: 6.6216 6.6216 6.6216 Å, 90.00 90.00 90.00°
Closest atoms and distances in Å follow each position.
Space group F-43m (No. 216)
Unique sites:
Hg 0.0000 0.0000 0.0000 [4 per cell]  4 Hg 2.87, 4 Ru 2.87
Hg 0.2500 0.2500 0.2500 [4 per cell]  4 Hg 2.87, 4 P 2.87
P 0.0000 0.0000 0.5000 [4 per cell]  4 Ru 2.87, 4 Hg 2.87
Ru 0.2500 0.2500 0.7500 [4 per cell]  4 Hg 2.87, 4 P 2.87

Values from the calculation:
Calculated density ... 12.2 g cm⁻³
ΔH_f (0 K) ... 0.74 eV/atom
Crystal system ... cubic
Uncorrected energy ... -3.082 eV per atom


Hg2PRu after structural relaxation, computed with PBE.

Cell: 3.0915 3.0915 28.6930 Å, 90.00 90.00 120.00°
Closest atoms and distances in Å follow each position.
Space group R3m (No. 160, hexagonal axes)
Unique sites:
Hg 0.0000 0.0000 0.0000 [3 per cell]  9 Hg 3.09-3.44, 3 P 3.32
Hg 0.0000 0.0000 0.2307 [3 per cell]  3 Ru 2.97, 6 Hg 3.09
P 0.0000 0.0000 0.7642 [3 per cell]  3 Ru 2.30
Ru 0.0000 0.0000 0.4814 [3 per cell]  3 P 2.30

Values from the calculation:
Calculated density ... 11.2 g cm⁻³
ΔH_f (0 K) ... -0.01 eV/atom
Crystal system ... trigonal
Uncorrected energy ... -3.830 eV per atom


HgPRu2 after structural relaxation, computed with PBE.

Cell: 6.8906 6.8906 5.5781 Å, 90.00 90.00 90.00°
Closest atoms and distances in Å follow each position.
Space group I-42d (No. 122)
Unique sites:
Hg 0.0000 0.0000 0.0000 [4 per cell]  2 P 2.79, 8 Ru 2.89-2.97
P 0.0000 0.0000 0.5000 [4 per cell]  4 Ru 2.23
Ru 0.1780 0.2500 0.6250 [8 per cell]  2 P 2.23

Values from the calculation:
Calculated density ... 10.9 g cm⁻³
ΔH_f (0 K) ... 0.18 eV/atom
Crystal system ... tetragonal
Uncorrected energy ... -5.884 eV per atom
Energy above the lowest structure with this stoichiometry ... 242.5 meV/atom


HgPRu2 after structural relaxation, computed with PBE.

Cell: 2.9756 5.0285 8.4379 Å, 90.00 90.00 90.00°
Closest atoms and distances in Å follow each position.
Space group Immm (No. 71)
Unique sites:
Hg 0.0000 0.0000 0.0000 [2 per cell]  8 Ru 2.89-3.06, 4 P 2.92, 2 Hg 2.98
P 0.0000 0.0000 0.5000 [2 per cell]  4 Ru 2.29
Ru 0.0000 0.5000 0.2059 [4 per cell]  2 P 2.29

Values from the calculation:
Calculated density ... 11.4 g cm⁻³
ΔH_f (0 K) ... 0.23 eV/atom
Crystal system ... orthorhombic
Uncorrected energy ... -5.838 eV per atom
Energy above the lowest structure with this stoichiometry ... 289.2 meV/atom


HgPRu2 after structural relaxation, computed with PBE.

Cell: 4.4083 2.9414 10.3994 Å, 90.00 90.00 90.00°
Closest atoms and distances in Å follow each position.
Space group Amm2 (No. 38)
Unique sites:
Hg 0.0000 0.0000 0.0000 [2 per cell]  7 Ru 2.72-3.04, 2 Hg 2.94
P 0.5000 0.0000 0.6876 [2 per cell]  4 Ru 2.27-2.29
Ru 0.0000 0.0000 0.7380 [2 per cell]  2 P 2.27
Ru 0.5000 0.0000 0.3562 [2 per cell]  2 P 2.29

Values from the calculation:
Calculated density ... 10.7 g cm⁻³
ΔH_f (0 K) ... 0.22 eV/atom
Crystal system ... orthorhombic
Uncorrected energy ... -5.842 eV per atom
Energy above the lowest structure with this stoichiometry ... 284.8 meV/atom


HgP4Ru after structural relaxation, computed with PBE.

Cell: 7.3050 7.3050 7.3050 Å, 90.00 90.00 90.00°
Closest atoms and distances in Å follow each position.
Space group F-43m (No. 216)
Unique sites:
Hg 0.0000 0.0000 0.0000 [4 per cell]  12 P 3.01, 4 Ru 3.16
P 0.1332 0.1332 0.3668 [16 per cell]  3 P 2.41
Ru 0.2500 0.2500 0.7500 [4 per cell]  12 P 3.05, 4 Hg 3.16

Values from the calculation:
Calculated density ... 7.3 g cm⁻³
ΔH_f (0 K) ... 0.88 eV/atom
Crystal system ... cubic
Uncorrected energy ... -4.325 eV per atom


HgPRu2 after structural relaxation, computed with PBE.

Cell: 2.9226 2.9226 7.0178 Å, 90.00 90.00 90.00°
Closest atoms and distances in Å follow each position.
Space group P4/mmm (No. 123)
Unique sites:
Hg 0.0000 0.0000 0.0000 [1 per cell]  4 Hg 2.92, 8 Ru 3.00
P 0.0000 0.0000 0.5000 [1 per cell]  8 Ru 2.46
Ru 0.5000 0.5000 0.3090 [2 per cell]  4 P 2.46, 1 Ru 2.68

Values from the calculation:
Calculated density ... 12.0 g cm⁻³
ΔH_f (0 K) ... -0.02 eV/atom
Crystal system ... tetragonal
Uncorrected energy ... -6.083 eV per atom
Energy above the lowest structure with this stoichiometry ... 43.7 meV/atom


Hg2PRu after structural relaxation, computed with PBE.

Cell: 3.0597 3.0597 27.6099 Å, 90.00 90.00 120.00°
Closest atoms and distances in Å follow each position.
Space group R-3m (No. 166, hexagonal axes)
Unique sites:
Hg 0.0000 0.0000 0.2476 [6 per cell]  3 Ru 2.85, 3 P 2.95, 6 Hg 3.06
P 0.0000 0.0000 0.0000 [3 per cell]  6 Hg 2.95, 6 P 3.06
Ru 0.0000 0.0000 0.5000 [3 per cell]  6 Hg 2.85, 6 Ru 3.06

Values from the calculation:
Calculated density ... 11.9 g cm⁻³
ΔH_f (0 K) ... 0.72 eV/atom
Crystal system ... trigonal
Uncorrected energy ... -3.101 eV per atom


Hg2PRu after structural relaxation, computed with PBE.

Cell: 9.0439 9.0439 4.4380 Å, 90.00 90.00 90.00°
Closest atoms and distances in Å follow each position.
Space group I-42d (No. 122)
Unique sites:
Hg 0.1376 0.2500 0.1250 [8 per cell]  2 P 2.64
P 0.0000 0.0000 0.0000 [4 per cell]  2 Ru 2.22
Ru 0.0000 0.0000 0.5000 [4 per cell]  2 P 2.22

Values from the calculation:
Calculated density ... 9.8 g cm⁻³
ΔH_f (0 K) ... 0.57 eV/atom
Crystal system ... tetragonal
Uncorrected energy ... -3.248 eV per atom


HgPRu2 after structural relaxation, computed with PBE.

Cell: 2.9839 3.6060 6.0601 Å, 90.00 104.19 90.00°
Closest atoms and distances in Å follow each position.
Space group P2/m (No. 10)
Unique sites:
Hg 0.0000 0.0000 0.0000 [1 per cell]  8 Ru 2.92-2.95, 2 Hg 2.98, 2 P 3.03
P 0.0000 0.0000 0.5000 [1 per cell]  4 Ru 2.27
Ru 0.3403 0.5000 0.6991 [2 per cell]  2 P 2.27

Values from the calculation:
Calculated density ... 11.4 g cm⁻³
ΔH_f (0 K) ... 0.08 eV/atom
Crystal system ... monoclinic
Uncorrected energy ... -5.984 eV per atom
Energy above the lowest structure with this stoichiometry ... 143.4 meV/atom


HgPRu2 after structural relaxation, computed with PBE.

Cell: 2.8406 3.6637 6.4250 Å, 90.00 90.00 90.00°
Closest atoms and distances in Å follow each position.
Space group Pmm2 (No. 25)
Unique sites:
Hg 0.0000 0.0000 0.0000 [1 per cell]  2 Hg 2.84, 5 Ru 2.89-3.04
P 0.5000 0.5000 0.3802 [1 per cell]  5 Ru 2.25-2.39
Ru 0.0000 0.0000 0.4731 [1 per cell]  4 P 2.39
Ru 0.5000 0.5000 0.7311 [1 per cell]  1 P 2.25

Values from the calculation:
Calculated density ... 10.8 g cm⁻³
ΔH_f (0 K) ... 0.20 eV/atom
Crystal system ... orthorhombic
Uncorrected energy ... -5.870 eV per atom
Energy above the lowest structure with this stoichiometry ... 256.7 meV/atom


- What is the calculated density in the first record?
  11.3 g cm⁻³


Copy entry 9 word for word.
Hg2PRu after structural relaxation, computed with PBE.

Cell: 3.0597 3.0597 27.6099 Å, 90.00 90.00 120.00°
Closest atoms and distances in Å follow each position.
Space group R-3m (No. 166, hexagonal axes)
Unique sites:
Hg 0.0000 0.0000 0.2476 [6 per cell]  3 Ru 2.85, 3 P 2.95, 6 Hg 3.06
P 0.0000 0.0000 0.0000 [3 per cell]  6 Hg 2.95, 6 P 3.06
Ru 0.0000 0.0000 0.5000 [3 per cell]  6 Hg 2.85, 6 Ru 3.06

Values from the calculation:
Calculated density ... 11.9 g cm⁻³
ΔH_f (0 K) ... 0.72 eV/atom
Crystal system ... trigonal
Uncorrected energy ... -3.101 eV per atom